(1)
Compound: CuHgAs2Br
Source: Alexandria
Functional: PBE-GGA
Structure: optimized geometry

a = 4.813 Å, b = 4.813 Å, c = 5.142 Å
α = 90.00°, β = 90.00°, γ = 90.00°
Site moments in Bohr magnetons follow the coordinates.
Fractional positions:
As 0.000 0.500 0.000  0.22
As 0.500 0.000 0.000  0.22
Cu 0.000 0.000 0.000  0.04
Hg 0.500 0.500 0.500  0.00
Br 0.000 0.000 0.500  0.08

Calculated values
raw formation energy: 0.504 eV/atom
density of states at the Fermi level: 0.82 states/eV per atom
symmetry: P4/mmm
energy above the most stable polymorph in this dataset: 0.000 eV/atom

(2)
Compound: InCuAs2Br
Source: Alexandria
Functional: PBE-GGA
Structure: optimized geometry

a = 5.283 Å, b = 5.283 Å, c = 5.513 Å
α = 90.00°, β = 90.00°, γ = 90.00°
Site moments in Bohr magnetons follow the coordinates.
Fractional positions:
As 0.000 0.500 0.000  0.31
As 0.500 0.000 0.000  0.31
Cu 0.500 0.500 0.500  0.04
Br 0.000 0.000 0.500  0.12
In 0.000 0.000 0.000  0.00

Calculated values
raw formation energy: 0.928 eV/atom
density of states at the Fermi level: 0.71 states/eV per atom
symmetry: P4/mmm
energy above the most stable polymorph in this dataset: 0.610 eV/atom

(3)
Compound: InCuAs2Br
Source: Alexandria
Functional: PBE-GGA
Structure: optimized geometry

a = 4.558 Å, b = 4.558 Å, c = 7.108 Å
α = 90.00°, β = 90.00°, γ = 90.00°
Fractional positions:
As 0.000 0.500 0.000
As 0.500 0.000 0.000
Cu 0.000 0.000 0.000
Br 0.000 0.000 0.500
In 0.500 0.500 0.500

Calculated values
raw formation energy: 0.318 eV/atom
density of states at the Fermi level: 0.59 states/eV per atom
symmetry: P4/mmm
energy above the most stable polymorph in this dataset: 0.000 eV/atom

(4)
Compound: CuAsIrBr2
Source: Alexandria
Functional: PBE-GGA
Structure: optimized geometry

a = 5.338 Å, b = 5.338 Å, c = 4.584 Å
α = 90.00°, β = 90.00°, γ = 90.00°
Fractional positions:
As 0.000 0.000 0.500
Ir 0.000 0.000 0.000
Cu 0.500 0.500 0.500
Br 0.000 0.500 0.000
Br 0.500 0.000 0.000

Calculated values
raw formation energy: 0.625 eV/atom
density of states at the Fermi level: 0.24 states/eV per atom
symmetry: P4/mmm
energy above the most stable polymorph in this dataset: 0.000 eV/atom

(5)
Compound: CuAs2IrBr
Source: Alexandria
Functional: PBE-GGA
Structure: optimized geometry

a = 4.727 Å, b = 4.727 Å, c = 5.494 Å
α = 90.00°, β = 90.00°, γ = 90.00°
Fractional positions:
As 0.000 0.500 0.000
As 0.500 0.000 0.000
Ir 0.000 0.000 0.000
Cu 0.500 0.500 0.500
Br 0.000 0.000 0.500

Calculated values
raw formation energy: 0.723 eV/atom
density of states at the Fermi level: 0.66 states/eV per atom
symmetry: P4/mmm
energy above the most stable polymorph in this dataset: 0.000 eV/atom

(6)
Compound: KCuAsBr2
Source: Alexandria
Functional: PBE-GGA
Structure: optimized geometry

a = 6.076 Å, b = 6.076 Å, c = 6.148 Å
α = 90.00°, β = 90.00°, γ = 90.00°
Site moments in Bohr magnetons follow the coordinates.
Fractional positions:
K 0.000 0.000 0.000  0.03
As 0.000 0.000 0.500  1.18
Cu 0.500 0.500 0.500  0.01
Br 0.000 0.500 0.000  0.15
Br 0.500 0.000 0.000  0.15

Calculated values
raw formation energy: 0.638 eV/atom
density of states at the Fermi level: 0.43 states/eV per atom
symmetry: P4/mmm
energy above the most stable polymorph in this dataset: 1.005 eV/atom